A geometry-optimized AgSb2Se structure, computed with PBE.

```
AgSb2Se
1.0
4.068 -4.073 0.000
4.068 4.073 0.000
-0.075 0.000 3.113
Ag Sb Se
1 2 1
direct
0.000 0.000 0.000 Ag
0.000 0.500 0.000 Sb
0.500 0.000 0.000 Sb
0.500 0.500 0.000 Se
```

A geometry-optimized Ta2CdAs structure, computed with PBE.

```
Ta2CdAs
1.0
3.151 0.000 0.000
0.000 3.151 0.000
0.000 0.000 7.334
Ta Cd As
2 1 1
direct
0.000 0.000 0.207 Ta
0.000 0.000 0.793 Ta
0.500 0.500 0.500 Cd
0.500 0.500 0.000 As
```

Values from the calculation:
Energy of formation ... 0.070 eV/atom
Energy above the lowest structure with this stoichiometry ... 38 meV per atom

A geometry-optimized KSb2TeBr structure, computed with PBE.

```
KSb2TeBr
1.0
6.124 0.000 0.000
0.000 6.124 0.000
0.000 0.000 5.445
K Sb Te Br
1 2 1 1
direct
0.000 0.000 0.000 K
0.000 0.500 0.000 Sb
0.500 0.000 0.000 Sb
0.500 0.500 0.500 Te
0.000 0.000 0.500 Br
```

Values from the calculation:
Energy above the lowest structure with this stoichiometry ... 431 meV per atom

A geometry-optimized Na7CdAu2 structure, computed with PBE.

```
Na7CdAu2
1.0
5.129 0.000 0.000
-2.564 4.442 0.000
0.000 0.000 12.733
Na Cd Au
7 1 2
direct
0.000 0.000 0.000 Na
0.000 0.000 0.254 Na
0.000 0.000 0.539 Na
0.333 0.667 0.135 Na
0.333 0.667 0.698 Na
0.667 0.333 0.356 Na
0.667 0.333 0.857 Na
0.333 0.667 0.423 Cd
0.000 0.000 0.771 Au
0.667 0.333 0.111 Au
```

Values from the calculation:
Energy of formation ... -0.138 eV/atom

In order of appearance, E = -14.3 -29.0 -10.2 -18.1 eV/f.u..
In order of appearance, ρ = 6.93 12.52 3.98 3.82 g/cm³.
In order of appearance, DOS(E_F) = 2.83 2.65 6.44 4.47 states/eV/cell.